Record 1
TmThPtRh: optimized geometry, PBE.

Computed properties:
- E above lowest polymorph: 0.165 eV/atom
- ΔE_f: -0.9749 eV per atom
- Final energy: -116.7 eV for the cell shown

Cell and atoms, written as CIF:
```
data_TmThPtRh
_chemical_formula_sum 'Tm4 Th4 Pt4 Rh4'
_symmetry_space_group_name_H-M 'F -4 3 m'
_symmetry_Int_Tables_number 216
_symmetry_space_group_name_Hall 'F -4 2 3'
_cell_length_a 7.056
_cell_length_b 7.056
_cell_length_c 7.056
_cell_angle_alpha 90.00
_cell_angle_beta 90.00
_cell_angle_gamma 90.00
loop_
_atom_site_label
_atom_site_fract_x
_atom_site_fract_y
_atom_site_fract_z
_atom_site_occupancy
Tm1 0.000 0.000 0.000 1
Th1 0.000 0.000 0.500 1
Pt1 0.250 0.250 0.250 1
Rh1 0.250 0.250 0.750 1
```

***

Record 2
YThPtRh: optimized geometry, PBE.

Computed properties:
- E above lowest polymorph: 0.174 eV/atom
- ΔE_f: -0.9332 eV per atom
- Final energy: -124.0 eV for the cell shown

Cell and atoms, written as CIF:
```
data_YThPtRh
_chemical_formula_sum 'Y4 Th4 Pt4 Rh4'
_symmetry_space_group_name_H-M 'F -4 3 m'
_symmetry_Int_Tables_number 216
_symmetry_space_group_name_Hall 'F -4 2 3'
_cell_length_a 7.098
_cell_length_b 7.098
_cell_length_c 7.098
_cell_angle_alpha 90.00
_cell_angle_beta 90.00
_cell_angle_gamma 90.00
loop_
_atom_site_label
_atom_site_fract_x
_atom_site_fract_y
_atom_site_fract_z
_atom_site_occupancy
Y1 0.000 0.000 0.000 1
Th1 0.000 0.000 0.500 1
Pt1 0.250 0.250 0.750 1
Rh1 0.250 0.250 0.250 1
```

***

Record 3
YThPtRh: optimized geometry, PBE.

Computed properties:
- E above lowest polymorph: 0.000 eV/atom
- ΔE_f: -1.1070 eV per atom
- Final energy: -63.4 eV for the cell shown

Cell and atoms, written as CIF:
```
data_YThPtRh
_chemical_formula_sum 'Y2 Th2 Pt2 Rh2'
_symmetry_space_group_name_H-M 'A m m 2'
_symmetry_Int_Tables_number 38
_cell_length_a 4.363
_cell_length_b 3.833
_cell_length_c 10.952
_cell_angle_alpha 90.00
_cell_angle_beta 90.00
_cell_angle_gamma 90.00
loop_
_symmetry_equiv_pos_as_xyz
'x,y,z'
'-x,-y,z'
'-x,y,z'
'x,-y,z'
'x,y+1/2,z+1/2'
'-x,-y+1/2,z+1/2'
'-x,y+1/2,z+1/2'
'x,-y+1/2,z+1/2'
loop_
_atom_site_label
_atom_site_fract_x
_atom_site_fract_y
_atom_site_fract_z
_atom_site_occupancy
Y1 0.000 0.000 0.000 1
Th1 0.500 0.000 0.274 1
Pt1 0.500 0.000 0.550 1
Rh1 0.000 0.000 0.735 1
```

***

Record 4
Th2Zn4Pt3Rh: optimized geometry, PBE.

Computed properties:
- ΔE_f: -0.7178 eV per atom
- Final energy: -52.6 eV for the cell shown

Cell and atoms, written as CIF:
```
data_Th2Zn4Pt3Rh
_chemical_formula_sum 'Th2 Zn4 Pt3 Rh1'
_symmetry_space_group_name_H-M 'P -4 m 2'
_symmetry_Int_Tables_number 115
_cell_length_a 4.218
_cell_length_b 4.218
_cell_length_c 10.685
_cell_angle_alpha 90.00
_cell_angle_beta 90.00
_cell_angle_gamma 90.00
loop_
_symmetry_equiv_pos_as_xyz
'x,y,z'
'y,-x,-z'
'-x,-y,z'
'-y,x,-z'
'-x,y,z'
'-y,-x,-z'
'x,-y,z'
'y,x,-z'
loop_
_atom_site_label
_atom_site_fract_x
_atom_site_fract_y
_atom_site_fract_z
_atom_site_occupancy
Th1 0.000 0.500 0.237 1
Zn1 0.000 0.000 0.500 1
Zn2 0.000 0.500 0.873 1
Zn3 0.500 0.500 0.500 1
Pt1 0.000 0.000 0.000 1
Pt2 0.000 0.500 0.642 1
Rh1 0.500 0.500 0.000 1
```

***

Record 5
ThZnPtRh: optimized geometry, PBE.

Computed properties:
- E above lowest polymorph: 0.140 eV/atom
- ΔE_f: -0.7165 eV per atom
- Final energy: -99.8 eV for the cell shown

Cell and atoms, written as CIF:
```
data_ThZnPtRh
_chemical_formula_sum 'Th4 Zn4 Pt4 Rh4'
_symmetry_space_group_name_H-M 'F -4 3 m'
_symmetry_Int_Tables_number 216
_symmetry_space_group_name_Hall 'F -4 2 3'
_cell_length_a 6.772
_cell_length_b 6.772
_cell_length_c 6.772
_cell_angle_alpha 90.00
_cell_angle_beta 90.00
_cell_angle_gamma 90.00
loop_
_atom_site_label
_atom_site_fract_x
_atom_site_fract_y
_atom_site_fract_z
_atom_site_occupancy
Th1 0.000 0.000 0.000 1
Zn1 0.000 0.000 0.500 1
Pt1 0.250 0.250 0.250 1
Rh1 0.250 0.250 0.750 1
```

***

Record 6
ThZnPtRh: optimized geometry, PBE.

Computed properties:
- E above lowest polymorph: 0.000 eV/atom
- ΔE_f: -0.8566 eV per atom
- Final energy: -51.0 eV for the cell shown

Cell and atoms, written as CIF:
```
data_ThZnPtRh
_chemical_formula_sum 'Th2 Zn2 Pt2 Rh2'
_symmetry_space_group_name_H-M 'C 1 m 1'
_symmetry_Int_Tables_number 8
_cell_length_a 7.552
_cell_length_b 4.364
_cell_length_c 5.401
_cell_angle_alpha 90.00
_cell_angle_beta 118.10
_cell_angle_gamma 90.00
loop_
_symmetry_equiv_pos_as_xyz
'x,y,z'
'x,-y,z'
'x+1/2,y+1/2,z'
'x+1/2,-y+1/2,z'
loop_
_atom_site_label
_atom_site_fract_x
_atom_site_fract_y
_atom_site_fract_z
_atom_site_occupancy
Th1 0.000 0.000 0.000 1
Zn1 0.495 0.000 0.488 1
Pt1 0.214 0.000 0.644 1
Rh1 0.279 0.500 0.339 1
```

***

Record 7
Ti2PtRh2: optimized geometry, PBE.

Computed properties:
- E above lowest polymorph: 0.000 eV/atom
- ΔE_f: -0.7799 eV per atom
- Final energy: -80.9 eV for the cell shown

Cell and atoms, written as CIF:
```
data_Ti2PtRh2
_chemical_formula_sum 'Ti4 Pt2 Rh4'
_symmetry_space_group_name_H-M 'P 1 21/m 1'
_symmetry_Int_Tables_number 11
_cell_length_a 3.651
_cell_length_b 4.065
_cell_length_c 10.359
_cell_angle_alpha 90.00
_cell_angle_beta 100.19
_cell_angle_gamma 90.00
loop_
_symmetry_equiv_pos_as_xyz
'x,y,z'
'-x,-y,-z'
'-x,y+1/2,-z'
'x,-y+1/2,z'
loop_
_atom_site_label
_atom_site_fract_x
_atom_site_fract_y
_atom_site_fract_z
_atom_site_occupancy
Ti1 0.051 0.250 0.102 1
Ti2 0.162 0.750 0.324 1
Pt1 0.354 0.750 0.707 1
Rh1 0.253 0.250 0.506 1
Rh2 0.449 0.250 0.900 1
```

***

Record 8
Ti2PtRh: optimized geometry, PBE.

Computed properties:
- ΔE_f: -0.7866 eV per atom
- Final energy: -32.3 eV for the cell shown

Cell and atoms, written as CIF:
```
data_Ti2PtRh
_chemical_formula_sum 'Ti2 Pt1 Rh1'
_symmetry_space_group_name_H-M 'P 4/m m m'
_symmetry_Int_Tables_number 123
_symmetry_space_group_name_Hall '-P 4 2'
_cell_length_a 3.301
_cell_length_b 3.301
_cell_length_c 5.680
_cell_angle_alpha 90.00
_cell_angle_beta 90.00
_cell_angle_gamma 90.00
loop_
_atom_site_label
_atom_site_fract_x
_atom_site_fract_y
_atom_site_fract_z
_atom_site_occupancy
Ti1 0.000 0.000 0.248 1
Pt1 0.500 0.500 0.500 1
Rh1 0.500 0.500 0.000 1
```

***

Record 9
TiPt6Rh23: optimized geometry, PBE.

Computed properties:
- ΔE_f: 0.1718 eV per atom
- Final energy: -832.3 eV for the cell shown

Cell and atoms, written as CIF:
```
data_TiPt6Rh23
_chemical_formula_sum 'Ti4 Pt24 Rh92'
_symmetry_space_group_name_H-M 'F m -3 m'
_symmetry_Int_Tables_number 225
_symmetry_space_group_name_Hall '-F 4 2 3'
_cell_length_a 12.212
_cell_length_b 12.212
_cell_length_c 12.212
_cell_angle_alpha 90.00
_cell_angle_beta 90.00
_cell_angle_gamma 90.00
loop_
_atom_site_label
_atom_site_fract_x
_atom_site_fract_y
_atom_site_fract_z
_atom_site_occupancy
Ti1 0.000 0.000 0.000 1
Pt1 0.000 0.000 0.225 1
Rh1 0.000 0.000 0.500 1
Rh2 0.000 0.250 0.250 1
Rh3 0.124 0.124 0.376 1
Rh4 0.150 0.150 0.150 1
```

***

Record 10
Ti2PtRh: optimized geometry, PBE.

Computed properties:
- ΔE_f: -0.8090 eV per atom
- Final energy: -64.8 eV for the cell shown

Cell and atoms, written as CIF:
```
data_Ti2PtRh
_chemical_formula_sum 'Ti4 Pt2 Rh2'
_symmetry_space_group_name_H-M 'C m m m'
_symmetry_Int_Tables_number 65
_symmetry_space_group_name_Hall '-C 2 2'
_cell_length_a 5.738
_cell_length_b 7.367
_cell_length_c 2.893
_cell_angle_alpha 90.00
_cell_angle_beta 90.00
_cell_angle_gamma 90.00
loop_
_atom_site_label
_atom_site_fract_x
_atom_site_fract_y
_atom_site_fract_z
_atom_site_occupancy
Ti1 0.250 0.250 0.000 1
Pt1 0.000 0.000 0.500 1
Rh1 0.000 0.500 0.500 1
```

***

Record 11
Ti4PtRh7: optimized geometry, PBE.

Computed properties:
- ΔE_f: -0.6156 eV per atom
- Final energy: -96.5 eV for the cell shown

Cell and atoms, written as CIF:
```
data_Ti4PtRh7
_chemical_formula_sum 'Ti4 Pt1 Rh7'
_symmetry_space_group_name_H-M 'P -1'
_symmetry_Int_Tables_number 2
_cell_length_a 4.879
_cell_length_b 5.414
_cell_length_c 7.338
_cell_angle_alpha 71.41
_cell_angle_beta 77.40
_cell_angle_gamma 89.75
loop_
_symmetry_equiv_pos_as_xyz
'x,y,z'
'-x,-y,-z'
loop_
_atom_site_label
_atom_site_fract_x
_atom_site_fract_y
_atom_site_fract_z
_atom_site_occupancy
Ti1 0.211 0.093 0.307 1
Ti2 0.282 0.589 0.684 1
Pt1 0.500 0.000 0.000 1
Rh1 0.014 0.754 0.991 1
Rh2 0.213 0.590 0.337 1
Rh3 0.305 0.116 0.627 1
Rh4 0.500 0.500 0.000 1
```

***

Record 12
TiPtRh2: optimized geometry, PBE.

Computed properties:
- ΔE_f: -0.4129 eV per atom
- Final energy: -121.2 eV for the cell shown

Cell and atoms, written as CIF:
```
data_TiPtRh2
_chemical_formula_sum 'Ti4 Pt4 Rh8'
_symmetry_space_group_name_H-M 'F m -3 m'
_symmetry_Int_Tables_number 225
_symmetry_space_group_name_Hall '-F 4 2 3'
_cell_length_a 6.225
_cell_length_b 6.225
_cell_length_c 6.225
_cell_angle_alpha 90.00
_cell_angle_beta 90.00
_cell_angle_gamma 90.00
loop_
_atom_site_label
_atom_site_fract_x
_atom_site_fract_y
_atom_site_fract_z
_atom_site_occupancy
Ti1 0.000 0.000 0.000 1
Pt1 0.000 0.000 0.500 1
Rh1 0.250 0.250 0.250 1
```

***

For reference, total magnetic moment by record: 0.00, 0.00, 0.00, 0.00, 0.00, 0.00, 0.07, 0.00, 0.00, 0.00, 0.00, 0.00 μB/atom.